Here is BSbPt2 after structural relaxation from Alexandria. Energies are from PBE.

Output
Offset from the most stable computed form: 0.715 eV per atom
Energy: -5.12 eV/atom
Symmetry: Fm-3m
Formation energy (no corrections): 0.600 eV per atom

Unit cell a=4.474 b=4.474 c=4.474 alpha=60.00 beta=60.00 gamma=60.00
Element x y z (fractional)
Sb 0.500 0.500 0.500
B 0.000 0.000 0.000
Pt 0.250 0.250 0.250
Pt 0.750 0.750 0.750

Here is B2SbPt after structural relaxation from Alexandria. Energies are from PBE.

Output
Energy: -5.53 eV/atom
Symmetry: I-42d
Formation energy (no corrections): 0.352 eV per atom

Unit cell a=5.122 b=5.122 c=6.138 alpha=65.34 beta=65.34 gamma=90.00
Element x y z (fractional)
Sb 0.500 0.500 0.000
Sb 0.250 0.750 0.500
B 0.663 0.125 0.250
B 0.087 0.625 0.250
B 0.375 0.337 0.750
B 0.875 0.913 0.750
Pt 0.000 0.000 0.000
Pt 0.750 0.250 0.500

Here is BSbPt2 after structural relaxation from Alexandria. Energies are from PBE.

Output
Offset from the most stable computed form: 0.000 eV per atom
Energy: -5.84 eV/atom
Symmetry: R-3m
Formation energy (no corrections): -0.115 eV per atom

Unit cell a=3.479 b=3.479 c=6.533 alpha=74.56 beta=74.56 gamma=60.00
Element x y z (fractional)
Sb 0.500 0.500 0.500
B 0.000 0.000 0.000
Pt 0.280 0.280 0.160
Pt 0.720 0.720 0.840

Here is BSbPt3 after structural relaxation from Alexandria. Energies are from PBE.

Output
Offset from the most stable computed form: 1.798 eV per atom
Energy: -4.13 eV/atom
Symmetry: Pm-3m
Formation energy (no corrections): 1.654 eV per atom

Unit cell a=4.967 b=4.967 c=4.967 alpha=90.00 beta=90.00 gamma=90.00
Element x y z (fractional)
Sb 0.000 0.000 0.000
B 0.500 0.500 0.500
Pt 0.000 0.500 0.000
Pt 0.000 0.000 0.500
Pt 0.500 0.000 0.000

Here is BSbPt after structural relaxation from Alexandria. Energies are from PBE.

Output
Energy: -5.55 eV/atom
Symmetry: P2_1/c
Formation energy (no corrections): 0.061 eV per atom

Unit cell a=5.318 b=6.160 c=6.820 alpha=92.78 beta=90.00 gamma=90.00
Element x y z (fractional)
Pt 0.446 0.180 0.624
Pt 0.946 0.820 0.876
Pt 0.554 0.820 0.376
Pt 0.054 0.180 0.124
B 0.696 0.916 0.664
B 0.804 0.916 0.164
B 0.304 0.084 0.336
B 0.196 0.084 0.836
Sb 0.284 0.581 0.102
Sb 0.216 0.581 0.602
Sb 0.716 0.419 0.898
Sb 0.784 0.419 0.398

Here is B2SbPt6 after structural relaxation from Alexandria. Energies are from PBE.

Output
Energy: -6.11 eV/atom
Symmetry: C2/c
Formation energy (no corrections): -0.140 eV per atom

Unit cell a=5.673 b=7.439 c=7.439 alpha=62.75 beta=83.85 gamma=83.85
Element x y z (fractional)
B 0.340 0.648 0.807
B 0.160 0.193 0.352
B 0.660 0.352 0.193
B 0.840 0.807 0.648
Sb 0.250 0.145 0.855
Sb 0.750 0.855 0.145
Pt 0.627 0.629 0.579
Pt 0.873 0.421 0.371
Pt 0.373 0.371 0.421
Pt 0.127 0.579 0.629
Pt 0.840 0.060 0.342
Pt 0.660 0.658 0.940
Pt 0.160 0.940 0.658
Pt 0.340 0.342 0.060
Pt 0.187 0.709 0.077
Pt 0.313 0.923 0.291
Pt 0.813 0.291 0.923
Pt 0.687 0.077 0.709

Here is BSbPt3 after structural relaxation from Alexandria. Energies are from PBE.

Output
Offset from the most stable computed form: 0.000 eV per atom
Energy: -5.93 eV/atom
Symmetry: P6_3/mmc
Formation energy (no corrections): -0.144 eV per atom

Unit cell a=4.312 b=6.468 c=6.467 alpha=120.00 beta=90.00 gamma=90.00
Element x y z (fractional)
B 0.000 0.000 0.000
B 0.500 0.000 0.000
Sb 0.750 0.667 0.333
Sb 0.250 0.333 0.667
Pt 0.750 0.650 0.825
Pt 0.250 0.825 0.650
Pt 0.250 0.350 0.175
Pt 0.750 0.175 0.350
Pt 0.250 0.825 0.175
Pt 0.750 0.175 0.825

Here is BSbPt2 after structural relaxation from Alexandria. Energies are from PBE.

Output
Offset from the most stable computed form: 0.001 eV per atom
Energy: -5.83 eV/atom
Symmetry: I-42d
Formation energy (no corrections): -0.114 eV per atom

Unit cell a=5.093 b=5.093 c=6.888 alpha=68.30 beta=68.30 gamma=90.00
Element x y z (fractional)
Sb 0.000 0.000 0.000
Sb 0.750 0.250 0.500
B 0.500 0.500 0.000
B 0.250 0.750 0.500
Pt 0.527 0.125 0.250
Pt 0.223 0.625 0.250
Pt 0.375 0.473 0.750
Pt 0.875 0.777 0.750

Here is SnBSb2Pt after structural relaxation from Alexandria. Energies are from PBE.

Output
Energy: -3.81 eV/atom
Symmetry: P4/mmm
Formation energy (no corrections): 1.178 eV per atom

Unit cell a=5.306 b=5.176 c=5.306 alpha=90.00 beta=90.00 gamma=90.00
Element x y z (fractional)
Sb 0.000 0.000 0.500
Sb 0.500 0.000 0.000
B 0.500 0.500 0.500
Sn 0.000 0.500 0.000
Pt 0.000 0.000 0.000

Quick rundown of total magnetization, same order as above: 0.00 0.00 0.00 0.00 0.00 0.00 0.00 0.00 0.00 μB/f.u.